No. 1
Compound: Y2ZrCo
Source: the Alexandria database
Functional: PBE
Structure: optimized geometry

Lattice parameters (Å, degrees): 3.503 6.248 6.248 45.71 90.00 90.00
Sites, in units of the cell vectors:
Y 0.000 0.000 0.000
Y 0.500 0.307 0.307
Zr 0.000 0.692 0.692
Co 0.500 0.543 0.543

Summary:
ρ: 5.6 Mg/m³
symmetry: Amm2
E_form: -0.0207 eV/atom

No. 2
Compound: MnInSn2
Source: the Alexandria database
Functional: PBE
Structure: optimized geometry

Lattice parameters (Å, degrees): 10.796 10.796 10.796 156.56 156.56 33.39
Sites, in units of the cell vectors:
Mn 0.000 0.000 0.000
Mn 0.750 0.250 0.500
In 0.250 0.750 0.500
In 0.500 0.500 0.000
Sn 0.109 0.625 0.984
Sn 0.375 0.359 0.484
Sn 0.641 0.125 0.016
Sn 0.875 0.891 0.516

Summary:
ρ: 6.8 Mg/m³
symmetry: I-42d
E_form: 0.2947 eV/atom

No. 3
Compound: SeF
Source: the Alexandria database
Functional: PBE
Structure: optimized geometry

Lattice parameters (Å, degrees): 5.261 6.004 6.675 106.89 104.37 111.30
Sites, in units of the cell vectors:
Se 0.052 0.390 0.309
Se 0.338 0.047 0.879
Se 0.662 0.953 0.121
Se 0.948 0.610 0.691
F 0.193 0.498 0.859
F 0.247 0.238 0.459
F 0.753 0.762 0.541
F 0.807 0.502 0.141

Summary:
uncorrected energy: -29.33 eV for the cell shown
ρ: 3.8 Mg/m³
symmetry: P-1

| no. | DOS at the Fermi energy (states/eV per cell) |
| --- | --- |
| 1 | 5.19 |
| 2 | 4.80 |
| 3 | 0.09 |